Compound: NiH15IO12
Source: Alexandria
Functional: SCAN
Structure: single point on PBEsol structure

abc: 5.022 9.239 9.643
angles: 90.00 90.00 93.13
Each line ends with the local moment (μB).
Fractional positions:
Ni: 0.701 0.748 0.289  1.76
Ni: 0.201 0.248 0.711  1.76
H: 0.501 0.478 0.130  0.00
H: 0.001 0.978 0.870  0.00
H: 0.822 0.337 0.314  0.00
H: 0.322 0.837 0.686  0.00
H: 0.682 0.173 0.113  0.00
H: 0.182 0.673 0.887  0.00
H: 0.877 0.604 0.067  0.00
H: 0.377 0.104 0.933  0.00
H: 0.929 0.515 0.207  0.00
H: 0.429 0.015 0.793  0.00
H: 0.436 0.746 0.063  0.00
H: 0.936 0.246 0.937  0.00
H: 0.226 0.810 0.173  0.00
H: 0.726 0.310 0.827  0.00
H: 0.562 0.907 0.501  0.00
H: 0.062 0.407 0.499  0.00
H: 0.437 0.978 0.366  0.00
H: 0.937 0.478 0.634  0.00
H: 0.010 0.759 0.512  0.00
H: 0.510 0.259 0.488  0.00
H: 0.182 0.674 0.402  0.00
H: 0.682 0.174 0.598  0.00
H: 0.552 0.604 0.516  0.00
H: 0.052 0.104 0.484  0.00
H: 0.491 0.500 0.383  0.00
H: 0.991 0.000 0.617  0.00
H: 0.882 0.912 0.077  0.00
H: 0.382 0.412 0.923  0.00
H: 0.996 0.976 0.229  0.00
H: 0.496 0.476 0.771  0.00
I: 0.251 0.253 0.214  0.00
I: 0.751 0.753 0.786  0.00
O: 0.332 0.424 0.097  0.00
O: 0.832 0.924 0.903  0.00
O: 0.975 0.208 0.094  0.00
O: 0.475 0.708 0.906  0.00
O: 0.171 0.094 0.326  0.00
O: 0.671 0.594 0.674  0.00
O: 0.525 0.325 0.330  0.00
O: 0.025 0.825 0.670  0.00
O: 0.020 0.376 0.322  0.00
O: 0.520 0.876 0.678  0.00
O: 0.481 0.143 0.100  0.00
O: 0.981 0.643 0.900  0.00
O: 0.798 0.575 0.159  0.04
O: 0.298 0.075 0.841  0.04
O: 0.387 0.750 0.164  0.05
O: 0.887 0.250 0.836  0.05
O: 0.589 0.923 0.400  0.04
O: 0.089 0.423 0.600  0.04
O: 0.023 0.734 0.411  0.04
O: 0.523 0.234 0.589  0.04
O: 0.487 0.603 0.416  0.04
O: 0.987 0.103 0.584  0.04
O: 0.940 0.886 0.173  0.04
O: 0.440 0.386 0.827  0.04

## Properties
Electronic total energy ... -7.145 eV per atom